1.
Material: PaTa
Method: DFT, PBE
State: optimized geometry

a = 3.0712 Å, b = 3.0712 Å, c = 5.3368 Å
α = 90.00°, β = 90.00°, γ = 120.00°
Fractional positions:
Pa 0.3333 0.6667 0.5000
Ta 0.0000 0.0000 0.0000

Values from the calculation:
Relative energy among the computed polymorphs = 35.8 kJ/mol of formula units
Formation energy = 0.267 eV per atom
Total magnetic moment = 0.00 μB per formula unit
E = -20.8 eV per formula unit

2.
Material: InAuS6
Method: DFT, PBE
State: optimized geometry

a = 7.5208 Å, b = 11.0832 Å, c = 4.0094 Å
α = 84.17°, β = 81.82°, γ = 37.05°
Fractional positions:
S 0.0696 0.1267 0.5847
S 0.9304 0.8733 0.4153
S 0.8866 0.7363 0.1834
S 0.6836 0.5484 0.9591
S 0.1134 0.2637 0.8166
S 0.3164 0.4517 0.0409
In 0.5000 0.5000 0.5000
Au 0.0000 0.0000 0.0000

Values from the calculation:
ΔE_f (raw) = -0.09 eV/atom
Total magnetic moment = 0.00 μB per formula unit
E = -31.5 eV per formula unit

> Which of these has the highest E?

PaTa

> The lowest E belongs to which entry?

InAuS6

What did the first record say?
Material: PaTa
Method: DFT, PBE
State: optimized geometry

a = 3.0712 Å, b = 3.0712 Å, c = 5.3368 Å
α = 90.00°, β = 90.00°, γ = 120.00°
Fractional positions:
Pa 0.3333 0.6667 0.5000
Ta 0.0000 0.0000 0.0000

Values from the calculation:
Relative energy among the computed polymorphs = 35.8 kJ/mol of formula units
Formation energy = 0.267 eV per atom
Total magnetic moment = 0.00 μB per formula unit
E = -20.8 eV per formula unit